(1)
# Rb2Co3AgF12

Crystalline Rb2Co3AgF12 at its relaxed geometry (PBE+U, Alexandria via LeMat-Bulk).

Lattice parameters (Å, degrees): 7.436 7.436 7.436 60.17 60.17 60.17
Element x y z (fractional)
Rb  0.126  0.126  0.126
Rb  0.874  0.874  0.874
Co  0.000  0.500  0.500
Co  0.500  0.000  0.500
Co  0.500  0.500  0.000
Ag  0.500  0.500  0.500
F  0.128  0.596  0.596
F  0.199  0.199  0.579
F  0.199  0.579  0.199
F  0.404  0.404  0.872
F  0.404  0.872  0.404
F  0.421  0.801  0.801
F  0.579  0.199  0.199
F  0.596  0.128  0.596
F  0.596  0.596  0.128
F  0.801  0.421  0.801
F  0.801  0.801  0.421
F  0.872  0.404  0.404

Summary:
**E_tot**: -0.3248 Ry per atom
**Magnetic moment**: 12.04 μB/cell


(2)
# CoAgRuF6

Crystalline CoAgRuF6 at its relaxed geometry (PBE+U, Alexandria via LeMat-Bulk).

Lattice parameters (Å, degrees): 5.450 5.450 10.424 90.00 90.00 120.00
Element x y z (fractional)
Co  0.333  0.667  0.250
Co  0.667  0.333  0.750
Ag  0.000  0.000  0.000
Ag  0.000  0.000  0.500
Ru  0.333  0.667  0.750
Ru  0.667  0.333  0.250
F  0.006  0.361  0.647
F  0.006  0.645  0.853
F  0.355  0.361  0.853
F  0.355  0.994  0.647
F  0.361  0.006  0.147
F  0.361  0.355  0.353
F  0.639  0.645  0.647
F  0.639  0.994  0.853
F  0.645  0.006  0.353
F  0.645  0.639  0.147
F  0.994  0.355  0.147
F  0.994  0.639  0.353

Summary:
**E_tot**: -0.3499 Ry per atom
**Magnetic moment**: 8.00 μB/cell


(3)
# SmCoAgF6

Crystalline SmCoAgF6 at its relaxed geometry (PBE+U, Alexandria via LeMat-Bulk).

Lattice parameters (Å, degrees): 5.853 5.853 9.857 90.00 90.00 120.00
Element x y z (fractional)
Sm  0.333  0.667  0.250
Sm  0.667  0.333  0.750
Co  0.333  0.667  0.750
Co  0.667  0.333  0.250
Ag  0.000  0.000  0.000
Ag  0.000  0.000  0.500
F  0.026  0.377  0.638
F  0.026  0.649  0.862
F  0.351  0.377  0.862
F  0.351  0.974  0.638
F  0.377  0.026  0.138
F  0.377  0.351  0.362
F  0.623  0.649  0.638
F  0.623  0.974  0.862
F  0.649  0.026  0.362
F  0.649  0.623  0.138
F  0.974  0.351  0.138
F  0.974  0.623  0.362

Summary:
**E_tot**: -0.3918 Ry per atom
**Magnetic moment**: 6.19 μB/cell


(4)
# SrCoAg2F6

Crystalline SrCoAg2F6 at its relaxed geometry (PBE+U, Alexandria via LeMat-Bulk).

Lattice parameters (Å, degrees): 5.935 6.075 10.282 90.00 123.96 90.00
Element x y z (fractional)
Sr  0.000  0.000  0.000
Sr  0.000  0.500  0.500
Co  0.500  0.000  0.500
Co  0.500  0.500  0.000
Ag  0.270  0.054  0.752
Ag  0.270  0.446  0.252
Ag  0.730  0.554  0.748
Ag  0.730  0.946  0.248
F  0.153  0.059  0.274
F  0.153  0.441  0.774
F  0.284  0.680  0.064
F  0.284  0.820  0.564
F  0.396  0.219  0.069
F  0.396  0.281  0.569
F  0.604  0.719  0.431
F  0.604  0.781  0.931
F  0.716  0.180  0.436
F  0.716  0.320  0.936
F  0.847  0.559  0.226
F  0.847  0.941  0.726

Summary:
**E_tot**: -0.3338 Ry per atom
**Magnetic moment**: 6.00 μB/cell